VASP calculation (GGA-PBE) on an optimized crystal structure of TlTePt2I.

DOS(E_F)	4.6	states/eV/f.u.
ΔE_f (raw)	73	kJ per mole of atoms
total moment	0.0	μB/f.u.

Cell: 5.027 5.027 6.159 Å, 90.00 90.00 90.00°
Space group P4/mmm (No. 123)
Asymmetric unit:
Tl  0.000  0.000  0.000 (multiplicity 1)
Te  0.500  0.500  0.000 (multiplicity 1)
Pt  0.000  0.500  0.500 (multiplicity 2)
I  0.500  0.500  0.500 (multiplicity 1)

---

VASP calculation (GGA-PBE) on an optimized crystal structure of KAcTlSn.

E	-3.15	eV per atom
DOS(E_F)	3.7	states/eV/f.u.
total moment	0.0	μB/f.u.

Cell: 8.245 8.245 8.245 Å, 90.00 90.00 90.00°
Space group F-43m (No. 216)
Asymmetric unit:
K  0.000  0.000  0.000 (multiplicity 4)
Ac  0.000  0.000  0.500 (multiplicity 4)
Tl  0.250  0.250  0.750 (multiplicity 4)
Sn  0.250  0.250  0.250 (multiplicity 4)

---

VASP calculation (GGA-PBE) on an optimized crystal structure of NbRuBr3.

DOS(E_F)	6.4	states/eV/f.u.
ΔE_f (raw)	79	kJ per mole of atoms
total moment	2.7	μB/f.u.

Cell: 5.028 5.028 5.028 Å, 90.00 90.00 90.00°
Space group Pm-3m (No. 221)
Asymmetric unit:
Nb  0.000  0.000  0.000 (multiplicity 1)
Ru  0.500  0.500  0.500 (multiplicity 1)
Br  0.000  0.500  0.500 (multiplicity 3)

---

VASP calculation (GGA-PBE) on an optimized crystal structure of Mn2Au.

E	-6.65	eV per atom
DOS(E_F)	2.1	states/eV/f.u.
total moment	7.8	μB/f.u.

Cell: 3.037 4.270 4.384 Å, 90.00 90.00 90.00°
Space group Pmmm (No. 47)
Asymmetric unit:
Mn  0.000  0.000  0.000 (multiplicity 1)
Mn  0.500  0.000  0.500 (multiplicity 1)
Au  0.000  0.500  0.500 (multiplicity 1)

---

VASP calculation (GGA-PBE) on an optimized crystal structure of Lu3InH.

E	-4.25	eV per atom
DOS(E_F)	4.3	states/eV/f.u.
total moment	1.3	μB/f.u.

Cell: 4.732 4.732 4.732 Å, 90.00 90.00 90.00°
Space group Pm-3m (No. 221)
Asymmetric unit:
Lu  0.000  0.000  0.500 (multiplicity 3)
In  0.500  0.500  0.500 (multiplicity 1)
H  0.000  0.000  0.000 (multiplicity 1)

---

VASP calculation (GGA-PBE) on an optimized crystal structure of BaLiV2Pd.

E	-4.90	eV per atom
DOS(E_F)	4.2	states/eV/f.u.
total moment	5.5	μB/f.u.

Cell: 4.925 4.925 5.102 Å, 90.00 90.00 90.00°
Space group P4/mmm (No. 123)
Asymmetric unit:
Ba  0.000  0.000  0.000 (multiplicity 1)
Li  0.500  0.500  0.000 (multiplicity 1)
V  0.000  0.500  0.500 (multiplicity 2)
Pd  0.500  0.500  0.500 (multiplicity 1)

---

VASP calculation (GGA-PBE) on an optimized crystal structure of Ce2Sm2Pb.

E	-4.77	eV per atom
DOS(E_F)	13.5	states/eV/f.u.
total moment	2.6	μB/f.u.

Cell: 4.492 4.492 16.755 Å, 90.00 90.00 90.00°
Space group I4/mmm (No. 139)
Asymmetric unit:
Ce  0.000  0.000  0.080 (multiplicity 4)
Sm  0.000  0.500  0.250 (multiplicity 4)
Pb  0.000  0.000  0.500 (multiplicity 2)

---

VASP calculation (GGA-PBE) on an optimized crystal structure of GdEr2Cd.

energy above the most stable polymorph in this dataset	0.040	eV per atom
DOS(E_F)	5.6	states/eV/f.u.
total moment	7.9	μB/f.u.

Cell: 4.843 4.843 4.801 Å, 90.00 90.00 90.00°
Space group P4/mmm (No. 123)
Asymmetric unit:
Gd  0.000  0.000  0.000 (multiplicity 1)
Er  0.000  0.500  0.500 (multiplicity 2)
Cd  0.500  0.500  0.000 (multiplicity 1)

---

VASP calculation (GGA-PBE) on an optimized crystal structure of Hg2BiH2.

energy above the most stable polymorph in this dataset	0.419	eV per atom
DOS(E_F)	1.6	states/eV/f.u.
total moment	0.0	μB/f.u.

Cell: 7.708 7.708 3.214 Å, 90.00 90.00 90.00°
Space group P4/mbm (No. 127)
Asymmetric unit:
Hg  0.133  0.367  0.000 (multiplicity 4)
Bi  0.000  0.000  0.000 (multiplicity 2)
H  0.110  0.610  0.500 (multiplicity 4)

---

VASP calculation (GGA-PBE) on an optimized crystal structure of PuH3.

E	-5.92	eV per atom
DOS(E_F)	3.9	states/eV/f.u.
total moment	1.0	μB/f.u.

Cell: 2.397 6.655 3.792 Å, 90.00 90.00 90.00°
Space group Imm2 (No. 44)
Asymmetric unit:
Pu  0.000  0.000  0.000 (multiplicity 2)
H  0.000  0.261  0.654 (multiplicity 4)
H  0.000  0.500  0.990 (multiplicity 2)

---

VASP calculation (GGA-PBE) on an optimized crystal structure of Ce2MnSi3Pt12.

DOS(E_F)	11.9	states/eV/f.u.
ΔE_f (raw)	-48	kJ per mole of atoms
total moment	4.9	μB/f.u.

Cell: 8.2118 8.2118 17.9214 Å, 90.00 90.00 120.00°
Space group R-3m (No. 166, hexagonal axes)
Asymmetric unit:
Ce  0.0000  0.0000  0.1131 (multiplicity 6)
Mn  0.0000  0.0000  0.5000 (multiplicity 3)
Si  0.0000  0.5000  0.0000 (multiplicity 9)
Pt  0.0101  0.5050  0.8690 (multiplicity 18)
Pt  0.0239  0.5119  0.3705 (multiplicity 18)

---

VASP calculation (GGA-PBE) on an optimized crystal structure of BeCuRh2N.

DOS(E_F)	5.5	states/eV/f.u.
ΔE_f (raw)	127	kJ per mole of atoms
total moment	0.0	μB/f.u.

Cell: 4.661 4.661 3.314 Å, 90.00 90.00 90.00°
Space group P4/mmm (No. 123)
Asymmetric unit:
Be  0.000  0.000  0.000 (multiplicity 1)
Cu  0.500  0.500  0.500 (multiplicity 1)
Rh  0.000  0.500  0.500 (multiplicity 2)
N  0.500  0.500  0.000 (multiplicity 1)